First-principles (GGA-PBEsol) data for crystalline PrAl3 at its relaxed geometry, as listed in Alexandria via LeMat-Bulk.

extended XYZ file:
```
8
Lattice="6.464 0.000 0.000 -3.232 5.598 0.000 0.000 0.000 4.614" Properties=species:S:1:pos:R:3 pbc="T T T"
Pr 0.000 3.732 1.153
Pr 3.232 1.866 3.460
Al 0.000 1.586 3.460
Al -1.859 4.805 3.460
Al 1.373 0.793 1.153
Al 1.859 4.805 3.460
Al 5.091 0.793 1.153
Al 3.232 4.012 1.153
```

Properties
The calculation puts the formation enthalpy at 0 K at -0.4448 eV per atom.



First-principles (GGA-PBEsol) data for crystalline PrAl2 at its relaxed geometry, as listed in Alexandria via LeMat-Bulk.

extended XYZ file:
```
6
Lattice="0.000 4.003 4.003 4.003 0.000 4.003 4.003 4.003 0.000" Properties=species:S:1:pos:R:3 pbc="T T T"
Pr 1.001 1.001 1.001
Pr 7.005 7.005 7.005
Al 4.003 2.001 2.001
Al 2.001 4.003 2.001
Al 2.001 2.001 4.003
Al 4.003 4.003 4.003
```

Properties
The calculation puts the formation enthalpy at 0 K at -0.5010 eV per atom.



First-principles (GGA-PBEsol) data for crystalline PrAl3 at its relaxed geometry, as listed in Alexandria via LeMat-Bulk.

extended XYZ file:
```
4
Lattice="4.343 0.000 0.000 0.000 4.343 0.000 0.000 0.000 4.343" Properties=species:S:1:pos:R:3 pbc="T T T"
Pr 0.000 0.000 0.000
Al 0.000 2.172 2.172
Al 2.172 0.000 2.172
Al 2.172 2.172 0.000
```

Properties
The calculation puts the formation enthalpy at 0 K at -0.3671 eV per atom.



First-principles (GGA-PBEsol) data for crystalline Pr3Al11 at its relaxed geometry, as listed in Alexandria via LeMat-Bulk.

extended XYZ file:
```
14
Lattice="-2.180 5.004 6.450 2.180 -5.004 6.450 2.180 5.004 -6.450" Properties=species:S:1:pos:R:3 pbc="T T T"
Pr 0.000 0.000 0.000
Pr 0.000 0.000 4.091
Pr 0.000 0.000 8.808
Al 2.180 -1.310 2.136
Al 2.180 -2.257 4.690
Al 2.180 2.862 0.000
Al 2.180 1.310 2.136
Al 0.000 2.747 1.760
Al 0.000 5.004 0.000
Al 2.180 2.257 4.690
Al 0.000 3.695 4.314
Al 0.000 2.142 6.450
Al 0.000 7.262 1.760
Al 0.000 6.314 4.314
```

Properties
The calculation puts the formation enthalpy at 0 K at -0.3718 eV per atom.



First-principles (GGA-PBEsol) data for crystalline PrAlRh at its relaxed geometry, as listed in Alexandria via LeMat-Bulk.

extended XYZ file:
```
12
Lattice="6.993 0.000 0.000 0.000 4.246 0.000 0.000 0.000 8.072" Properties=species:S:1:pos:R:3 pbc="T T T"
Pr 0.260 1.061 1.460
Pr 3.237 3.184 5.496
Pr 3.756 1.061 2.576
Pr 6.733 3.184 6.612
Al 0.933 1.061 4.527
Al 2.563 3.184 0.490
Al 4.430 1.061 7.582
Al 6.060 3.184 3.546
Rh 1.604 3.184 3.089
Rh 1.893 1.061 7.125
Rh 5.100 3.184 0.947
Rh 5.389 1.061 4.983
```

Properties
The calculation puts the formation enthalpy at 0 K at -0.7677 eV per atom.



First-principles (GGA-PBEsol) data for crystalline Pr2Al9Rh3 at its relaxed geometry, as listed in Alexandria via LeMat-Bulk.

extended XYZ file:
```
28
Lattice="6.519 -3.824 0.000 6.519 3.824 0.000 0.000 0.000 9.539" Properties=species:S:1:pos:R:3 pbc="T T T"
Pr 4.415 2.548 7.154
Pr 8.622 2.548 7.154
Pr 4.415 -2.548 2.385
Pr 8.622 -2.548 2.385
Al 4.344 2.531 0.701
Al 4.344 2.531 4.069
Al 6.519 2.823 2.385
Al 6.519 1.272 5.192
Al 6.519 1.272 9.116
Al 8.693 2.531 0.701
Al 8.693 2.531 4.069
Al 5.157 0.422 2.385
Al 5.157 -0.422 7.154
Al 7.880 0.422 2.385
Al 7.880 -0.422 7.154
Al 4.344 -2.531 5.470
Al 4.344 -2.531 8.838
Al 6.519 -1.272 0.423
Al 6.519 -1.272 4.347
Al 6.519 -2.823 7.154
Al 8.693 -2.531 5.470
Al 8.693 -2.531 8.838
Rh 0.000 0.000 0.000
Rh 0.000 0.000 4.770
Rh 4.291 0.000 0.000
Rh 4.291 0.000 4.770
Rh 8.747 0.000 0.000
Rh 8.747 0.000 4.770
```

Properties
The calculation puts the formation enthalpy at 0 K at -0.8048 eV per atom.



First-principles (GGA-PBEsol) data for crystalline PrAl10Ru2 at its relaxed geometry, as listed in Alexandria via LeMat-Bulk.

extended XYZ file:
```
26
Lattice="4.537 -5.116 0.000 4.537 5.116 0.000 0.000 0.000 9.129" Properties=species:S:1:pos:R:3 pbc="T T T"
Pr 4.537 3.847 6.847
Pr 4.537 -3.847 2.282
Al 2.490 1.389 6.847
Al 4.537 3.470 0.923
Al 4.537 3.470 3.642
Al 3.182 1.333 2.282
Al 2.062 0.000 0.000
Al 2.062 0.000 4.565
Al 4.537 1.254 5.032
Al 4.537 1.254 8.662
Al 2.490 -1.389 2.282
Al 3.182 -1.333 6.847
Al 5.892 1.333 2.282
Al 6.585 1.389 6.847
Al 4.537 -1.254 0.467
Al 4.537 -1.254 4.097
Al 7.013 0.000 0.000
Al 7.013 0.000 4.565
Al 5.892 -1.333 6.847
Al 4.537 -3.470 5.488
Al 4.537 -3.470 8.206
Al 6.585 -1.389 2.282
Ru 2.269 2.558 0.000
Ru 2.269 2.558 4.565
Ru 2.269 -2.558 0.000
Ru 2.269 -2.558 4.565
```

Properties
The calculation puts the formation enthalpy at 0 K at -0.5043 eV per atom.



First-principles (GGA-PBEsol) data for crystalline Pr3Al12Ru4 at its relaxed geometry, as listed in Alexandria via LeMat-Bulk.

extended XYZ file:
```
38
Lattice="8.833 0.000 0.000 -4.417 7.650 0.000 0.000 0.000 9.635" Properties=species:S:1:pos:R:3 pbc="T T T"
Pr 0.000 2.941 2.409
Pr -1.870 6.179 2.409
Pr 2.547 1.470 7.226
Pr 1.870 6.179 2.409
Pr 6.286 1.470 7.226
Pr 4.417 4.709 7.226
Al 0.000 0.000 2.409
Al 0.000 0.000 7.226
Al -1.384 4.301 7.226
Al 0.000 2.486 5.541
Al 0.000 2.486 8.911
Al -2.264 6.407 5.541
Al -2.264 6.407 8.911
Al 2.153 1.243 0.724
Al 2.153 1.243 4.093
Al 0.000 5.100 0.080
Al 0.000 5.100 4.737
Al 1.384 4.301 7.226
Al 0.000 6.698 7.226
Al 4.417 0.952 2.409
Al 3.033 3.349 2.409
Al 4.417 2.550 4.897
Al 4.417 2.550 9.555
Al 2.264 6.407 5.541
Al 2.264 6.407 8.911
Al 6.681 1.243 0.724
Al 6.681 1.243 4.093
Al 4.417 5.164 0.724
Al 4.417 5.164 4.093
Al 5.800 3.349 2.409
Ru 0.000 0.000 0.000
Ru 0.000 0.000 4.817
Ru -2.208 3.825 0.000
Ru -2.208 3.825 4.817
Ru 4.417 0.000 0.000
Ru 4.417 0.000 4.817
Ru 2.208 3.825 0.000
Ru 2.208 3.825 4.817
```

Properties
The calculation puts the formation enthalpy at 0 K at -0.6118 eV per atom.



First-principles (GGA-PBEsol) data for crystalline Pr5Al2Ru3 at its relaxed geometry, as listed in Alexandria via LeMat-Bulk.

extended XYZ file:
```
20
Lattice="-4.893 4.893 4.893 4.893 -4.893 4.893 4.893 4.893 -4.893" Properties=species:S:1:pos:R:3 pbc="T T T"
Pr 3.843 1.050 -1.050
Pr 7.340 0.640 0.000
Pr 1.050 1.050 1.050
Pr 4.253 0.000 2.447
Pr 1.050 -1.050 3.843
Pr 2.447 4.253 0.000
Pr -1.050 3.843 1.050
Pr 0.000 2.447 4.253
Pr 0.640 0.000 7.340
Pr 0.000 7.340 0.640
Al 6.892 -1.999 1.999
Al 1.999 6.892 -1.999
Al 2.895 2.895 2.895
Al -1.999 1.999 6.892
Ru 4.893 -2.447 3.614
Ru 3.614 4.893 -2.447
Ru 4.893 2.447 1.279
Ru 2.447 1.279 4.893
Ru 1.279 4.893 2.447
Ru -2.447 3.614 4.893
```

Properties
The calculation puts the formation enthalpy at 0 K at -0.3183 eV per atom.



First-principles (GGA-PBEsol) data for crystalline Pr9Al5S21 at its relaxed geometry, as listed in Alexandria via LeMat-Bulk.

extended XYZ file:
```
70
Lattice="8.586 4.957 6.040 -8.586 4.957 6.040 0.000 -9.914 6.040" Properties=species:S:1:pos:R:3 pbc="T T T"
Pr -6.748 -2.361 8.811
Pr -1.308 -6.901 6.040
Pr -1.943 -2.549 5.834
Pr -7.383 1.947 8.949
Pr -5.322 4.583 6.040
Pr -3.274 0.398 9.010
Pr -1.236 2.957 5.834
Pr 2.005 -7.367 8.949
Pr -1.952 -2.594 11.874
Pr 1.292 -3.034 9.010
Pr 3.179 -0.408 5.834
Pr 5.419 -4.663 8.811
Pr -1.270 2.988 11.874
Pr 1.982 2.636 9.010
Pr 6.630 2.318 6.040
Pr 1.329 7.025 8.811
Pr 3.223 -0.394 11.874
Pr 5.377 5.420 8.949
Al 0.000 0.000 1.826
Al -2.953 -4.896 8.441
Al -5.780 -0.053 11.462
Al 0.000 0.000 7.529
Al -2.764 5.005 8.441
Al 0.000 0.000 10.830
Al 2.935 -4.979 11.462
Al 5.717 -0.109 8.441
Al 0.000 0.000 16.648
Al 2.845 5.032 11.462
S -7.809 3.193 6.312
S -4.924 1.980 4.575
S -1.290 -1.663 3.026
S -4.182 -3.274 7.501
S -5.754 0.035 7.637
S 0.747 -5.255 4.575
S 1.139 -8.359 6.312
S -0.795 1.949 3.026
S -0.893 -4.586 7.593
S -2.031 0.230 6.383
S -2.867 -4.957 10.654
S -4.569 -1.714 10.542
S 2.085 -0.286 3.026
S -3.525 3.066 7.593
S 0.816 -1.874 6.383
S -5.041 1.901 10.597
S -1.152 -1.542 9.259
S -4.027 -3.227 13.641
S 2.847 -5.000 7.637
S 0.874 -5.316 10.597
S 1.215 1.644 6.383
S -0.760 1.769 9.259
S -0.745 5.258 7.501
S -2.075 0.252 12.033
S -2.860 4.962 10.654
S 4.177 3.275 4.575
S 1.912 -0.226 9.259
S 4.926 -1.984 7.501
S 0.819 -1.923 12.033
S 3.769 -3.100 10.542
S 4.418 1.520 7.593
S -1.158 -1.674 15.494
S 2.907 4.965 7.637
S 0.801 4.814 10.542
S 1.256 1.671 12.033
S -0.871 1.840 15.494
S -0.781 5.101 13.641
S 6.669 5.166 6.312
S 5.727 -0.004 10.654
S 4.167 3.415 10.597
S 2.029 -0.165 15.494
S 4.808 -1.874 13.641
```

Properties
The calculation puts the energy relative to the elements, uncorrected at -170.9 kJ per mole of atoms.



First-principles (GGA-PBEsol) data for crystalline Pr3Al4Si6 at its relaxed geometry, as listed in Alexandria via LeMat-Bulk.

extended XYZ file:
```
13
Lattice="4.174 0.000 0.000 -2.087 3.615 0.000 0.000 0.000 17.796" Properties=species:S:1:pos:R:3 pbc="T T T"
Pr 0.000 0.000 0.000
Pr 0.000 0.000 6.902
Pr 0.000 0.000 10.894
Al 0.000 2.410 4.369
Al 0.000 2.410 15.314
Al 2.087 1.205 2.482
Al 2.087 1.205 13.427
Si 0.000 2.410 1.828
Si 0.000 2.410 8.850
Si 0.000 2.410 12.781
Si 2.087 1.205 5.015
Si 2.087 1.205 8.946
Si 2.087 1.205 15.968
```

Properties
The calculation puts the energy relative to the elements, uncorrected at -45.6 kJ per mole of atoms.



First-principles (GGA-PBEsol) data for crystalline PrAl20V2 at its relaxed geometry, as listed in Alexandria via LeMat-Bulk.

extended XYZ file:
```
46
Lattice="0.000 7.232 7.232 7.232 0.000 7.232 7.232 7.232 0.000" Properties=species:S:1:pos:R:3 pbc="T T T"
Pr 1.808 1.808 1.808
Pr 12.657 12.657 12.657
Al 0.000 0.000 0.000
Al 3.616 3.616 0.000
Al 3.616 0.000 3.616
Al 4.722 2.769 2.769
Al 8.079 6.126 2.769
Al 8.079 2.769 6.126
Al 9.742 6.386 6.386
Al 11.695 8.339 6.386
Al 11.695 6.386 8.339
Al 5.424 5.424 3.428
Al 5.424 3.428 5.424
Al 7.420 5.424 5.424
Al 2.769 4.722 2.769
Al 6.126 8.079 2.769
Al 2.769 2.769 4.722
Al 8.079 8.079 4.722
Al 6.126 2.769 8.079
Al 8.079 4.722 8.079
Al 9.041 9.041 7.044
Al 9.041 7.044 9.041
Al 11.037 9.041 9.041
Al 0.000 3.616 3.616
Al 3.428 5.424 5.424
Al 5.424 7.420 5.424
Al 5.424 5.424 7.420
Al 6.386 9.742 6.386
Al 8.339 11.695 6.386
Al 6.386 6.386 9.742
Al 11.695 11.695 9.742
Al 8.339 6.386 11.695
Al 11.695 9.742 11.695
Al 7.044 9.041 9.041
Al 9.041 11.037 9.041
Al 9.041 9.041 11.037
Al 2.769 8.079 6.126
Al 2.769 6.126 8.079
Al 4.722 8.079 8.079
Al 6.386 11.695 8.339
Al 6.386 8.339 11.695
Al 9.742 11.695 11.695
V 7.232 3.616 3.616
V 3.616 7.232 3.616
V 3.616 3.616 7.232
V 7.232 7.232 7.232
```

Properties
The calculation puts the formation enthalpy at 0 K at -0.2003 eV per atom.